[1]
# Sr8Ga2Ag, optimized geometry, DFT PBE
# **Formation enthalpy at 0 K**: -0.146 eV/atom
# **ΔE to the lowest computed polymorph**: 41 meV per atom
data_Sr8Ga2Ag
_cell_length_a 9.942
_cell_length_b 14.574
_cell_length_c 6.809
_cell_angle_alpha 90.00
_cell_angle_beta 108.85
_cell_angle_gamma 90.00
_space_group_name_H-M_alt 'C 1 m 1'
_space_group_IT_number 8
_space_group_name_Hall 'C -2y'
loop_
_atom_site_label
_atom_site_fract_x
_atom_site_fract_y
_atom_site_fract_z
_atom_site_occupancy
Sr1 0.000 0.000 0.000 1
Sr2 0.071 0.368 0.788 1
Sr3 0.158 0.134 0.588 1
Sr4 0.231 0.500 0.396 1
Sr5 0.363 0.215 0.190 1
Ga1 0.369 0.314 0.702 1
Ag1 0.365 0.000 0.382 1

***

[2]
# K2Tb2MnS6, optimized geometry, DFT PBE
# **Formation energy without anion corrections**: -1.432 eV/atom
data_K2Tb2MnS6
_cell_length_a 6.731
_cell_length_b 11.452
_cell_length_c 7.864
_cell_angle_alpha 90.00
_cell_angle_beta 107.09
_cell_angle_gamma 90.00
_space_group_name_H-M_alt 'C 1 2/m 1'
_space_group_IT_number 12
_space_group_name_Hall '-C 2y'
loop_
_atom_site_label
_atom_site_fract_x
_atom_site_fract_y
_atom_site_fract_z
_atom_site_occupancy
K1 0.000 0.172 0.000 1
Tb1 0.000 0.333 0.500 1
Mn1 0.000 0.000 0.500 1
S1 0.215 0.149 0.689 1
S2 0.229 0.000 0.314 1

***

[3]
# TeIrAu2, optimized geometry, DFT PBE
# **Formation energy without anion corrections**: 0.415 eV/atom
data_TeIrAu2
_cell_length_a 4.376
_cell_length_b 4.376
_cell_length_c 7.806
_cell_angle_alpha 90.00
_cell_angle_beta 90.00
_cell_angle_gamma 90.00
_space_group_name_H-M_alt 'I -4 m 2'
_space_group_IT_number 119
_space_group_name_Hall 'I -4 -2'
loop_
_atom_site_label
_atom_site_fract_x
_atom_site_fract_y
_atom_site_fract_z
_atom_site_occupancy
Te1 0.000 0.000 0.000 1
Ir1 0.000 0.500 0.250 1
Au1 0.000 0.000 0.500 1
Au2 0.000 0.500 0.750 1

***

[4]
# CoHgSb2, optimized geometry, DFT PBE
# **Formation energy without anion corrections**: 0.246 eV/atom
data_CoHgSb2
_cell_length_a 6.206
_cell_length_b 6.206
_cell_length_c 11.868
_cell_angle_alpha 90.00
_cell_angle_beta 90.00
_cell_angle_gamma 90.00
_space_group_name_H-M_alt 'I -4 2 d'
_space_group_IT_number 122
_space_group_name_Hall 'I -4 2bw'
loop_
_atom_site_label
_atom_site_fract_x
_atom_site_fract_y
_atom_site_fract_z
_atom_site_occupancy
Co1 0.000 0.000 0.000 1
Hg1 0.000 0.000 0.500 1
Sb1 0.173 0.250 0.125 1

***

[5]
# RbBrCl, optimized geometry, DFT PBE
# **ΔE to the lowest computed polymorph**: 0 meV per atom
# **Formation energy without anion corrections**: -1.312 eV/atom
data_RbBrCl
_cell_length_a 21.785
_cell_length_b 4.656
_cell_length_c 4.726
_cell_angle_alpha 90.00
_cell_angle_beta 92.72
_cell_angle_gamma 90.00
_space_group_name_H-M_alt 'C 1 2/m 1'
_space_group_IT_number 12
_space_group_name_Hall '-C 2y'
loop_
_atom_site_label
_atom_site_fract_x
_atom_site_fract_y
_atom_site_fract_z
_atom_site_occupancy
Rb1 0.163 0.000 0.232 1
Br1 0.054 0.500 0.578 1
Cl1 0.183 0.500 0.742 1

***

[6]
# Nd8C3Br4N, optimized geometry, DFT PBE
# **Formation energy without anion corrections**: -1.022 eV/atom
data_Nd8C3Br4N
_cell_length_a 13.149
_cell_length_b 7.576
_cell_length_c 8.634
_cell_angle_alpha 90.00
_cell_angle_beta 120.53
_cell_angle_gamma 90.00
_space_group_name_H-M_alt 'C 1 2/m 1'
_space_group_IT_number 12
_space_group_name_Hall '-C 2y'
loop_
_atom_site_label
_atom_site_fract_x
_atom_site_fract_y
_atom_site_fract_z
_atom_site_occupancy
Nd1 0.022 0.248 0.319 1
Nd2 0.226 0.000 0.682 1
Nd3 0.228 0.500 0.684 1
C1 0.000 0.500 0.500 1
C2 0.250 0.250 0.500 1
Br1 0.000 0.000 0.000 1
Br2 0.000 0.500 0.000 1
Br3 0.250 0.250 0.000 1
N1 0.000 0.000 0.500 1

***

Results for raw total energy: -2.1782; -5.5580; -4.2240; -3.6667; -2.8078; -6.0739 (in eV per atom, following the order of the records).